Density functional theory data (PBE-GGA) for AlP2S2 after structural relaxation.

abc: 4.5072 4.5072 4.4997
angles: 90.00 90.00 90.00
With the nearest neighbours (Å) after each atom.
Space group P4/mmm (No. 123)
Inequivalent atoms, fractional coordinates:
Al 0.0000 0.0000 0.0000  8 S 3.18, 4 P 3.19
P 0.5000 0.5000 0.0000  2 P 2.25
P 0.5000 0.5000 0.5000  2 P 2.25, 4 S 2.25
S 0.0000 0.5000 0.5000  2 P 2.25

- raw formation energy (eV per atom) = 0.52
- excess energy over the best structure of this formula in the dataset (eV/f.u.) = 0.00
- total energy (eV/atom) = -4.043